Entry 1:
DFT (PBE) results for a geometry-optimized Cs4KPu3Cl12 structure.

CIF file:
```
data_Cs4KPu3Cl12
_chemical_formula_sum 'Cs4 K1 Pu3 Cl12'
_symmetry_space_group_name_H-M 'P 1'
_symmetry_Int_Tables_number 1
_symmetry_space_group_name_Hall 'P 1'
_cell_length_a 9.839
_cell_length_b 9.839
_cell_length_c 9.839
_cell_angle_alpha 109.47
_cell_angle_beta 109.47
_cell_angle_gamma 109.47
loop_
_atom_site_label
_atom_site_fract_x
_atom_site_fract_y
_atom_site_fract_z
Cs1 0.000 0.000 0.500
Cs2 0.000 0.500 0.000
Cs3 0.500 0.000 0.000
Cs4 0.500 0.500 0.500
K1 0.000 0.000 0.000
Pu1 0.000 0.500 0.500
Pu2 0.500 0.000 0.500
Pu3 0.500 0.500 0.000
Cl1 0.000 0.261 0.261
Cl2 0.000 0.739 0.739
Cl3 0.250 0.500 0.750
Cl4 0.250 0.750 0.500
Cl5 0.261 0.000 0.261
Cl6 0.261 0.261 0.000
Cl7 0.500 0.250 0.750
Cl8 0.500 0.750 0.250
Cl9 0.739 0.000 0.739
Cl10 0.739 0.739 0.000
Cl11 0.750 0.250 0.500
Cl12 0.750 0.500 0.250
```

Computed properties:
- D(E_F) (states/eV per cell) = 44.76
- calculated total energy (eV per atom) = -5.425
- uncorrected formation energy (kJ/mol of atoms) = -187.4
- space-group type = Im-3m (229)

Entry 2:
DFT (PBE) results for a geometry-optimized Na2Sr3Tl4 structure.

CIF file:
```
data_Na2Sr3Tl4
_chemical_formula_sum 'Na2 Sr3 Tl4'
_symmetry_space_group_name_H-M 'P 1'
_symmetry_Int_Tables_number 1
_symmetry_space_group_name_Hall 'P 1'
_cell_length_a 6.704
_cell_length_b 6.704
_cell_length_c 10.206
_cell_angle_alpha 113.80
_cell_angle_beta 113.80
_cell_angle_gamma 47.56
loop_
_atom_site_label
_atom_site_fract_x
_atom_site_fract_y
_atom_site_fract_z
Na1 0.163 0.163 0.334
Na2 0.837 0.837 0.666
Sr1 0.149 0.149 0.690
Sr2 0.500 0.500 0.000
Sr3 0.851 0.851 0.310
Tl1 0.237 0.237 0.077
Tl2 0.451 0.451 0.619
Tl3 0.549 0.549 0.381
Tl4 0.763 0.763 0.923
```

Computed properties:
- offset from the most stable computed form (meV/atom) = 32
- D(E_F) (states/eV per cell) = 5.43
- calculated total energy (eV per atom) = -2.163
- space-group type = C2/m (12)
- formation energy (eV/atom) = -0.258

Entry 3:
DFT (PBE) results for a geometry-optimized TaAs5 structure.

CIF file:
```
data_TaAs5
_chemical_formula_sum 'Ta2 As10'
_symmetry_space_group_name_H-M 'P 1'
_symmetry_Int_Tables_number 1
_symmetry_space_group_name_Hall 'P 1'
_cell_length_a 9.841
_cell_length_b 3.496
_cell_length_c 8.113
_cell_angle_alpha 90.00
_cell_angle_beta 107.93
_cell_angle_gamma 90.00
loop_
_atom_site_label
_atom_site_fract_x
_atom_site_fract_y
_atom_site_fract_z
Ta1 0.000 0.000 0.000
Ta2 0.500 0.500 0.000
As1 0.206 0.500 0.988
As2 0.207 0.500 0.292
As3 0.338 0.000 0.732
As4 0.457 0.000 0.230
As5 0.489 0.500 0.658
As6 0.706 0.000 0.988
As7 0.707 0.000 0.292
As8 0.838 0.500 0.732
As9 0.957 0.500 0.230
As10 0.989 0.000 0.658
```

Computed properties:
- offset from the most stable computed form (meV/atom) = 0
- D(E_F) (states/eV per cell) = 4.21
- calculated total energy (eV per atom) = -5.863
- space-group type = Cm (8)
- formation energy (eV/atom) = -0.013

Entry 4:
DFT (PBE) results for a geometry-optimized Tb4TlAg structure.

CIF file:
```
data_Tb4TlAg
_chemical_formula_sum 'Tb4 Tl1 Ag1'
_symmetry_space_group_name_H-M 'P 1'
_symmetry_Int_Tables_number 1
_symmetry_space_group_name_Hall 'P 1'
_cell_length_a 5.057
_cell_length_b 5.057
_cell_length_c 7.441
_cell_angle_alpha 90.00
_cell_angle_beta 90.00
_cell_angle_gamma 90.00
loop_
_atom_site_label
_atom_site_fract_x
_atom_site_fract_y
_atom_site_fract_z
Tb1 0.000 0.500 0.238
Tb2 0.000 0.500 0.762
Tb3 0.500 0.000 0.238
Tb4 0.500 0.000 0.762
Tl1 0.000 0.000 0.500
Ag1 0.500 0.500 0.000
```

Computed properties:
- offset from the most stable computed form (meV/atom) = 215
- D(E_F) (states/eV per cell) = 8.25
- calculated total energy (eV per atom) = -3.942
- space-group type = P4/mmm (123)
- formation energy (eV/atom) = 0.014

Entry 5:
DFT (PBE) results for a geometry-optimized CaYTlRh2 structure.

CIF file:
```
data_CaYTlRh2
_chemical_formula_sum 'Ca1 Y1 Tl1 Rh2'
_symmetry_space_group_name_H-M 'P 1'
_symmetry_Int_Tables_number 1
_symmetry_space_group_name_Hall 'P 1'
_cell_length_a 4.856
_cell_length_b 4.856
_cell_length_c 5.365
_cell_angle_alpha 90.00
_cell_angle_beta 90.00
_cell_angle_gamma 90.00
loop_
_atom_site_label
_atom_site_fract_x
_atom_site_fract_y
_atom_site_fract_z
Ca1 0.000 0.000 0.000
Y1 0.500 0.500 0.500
Tl1 0.000 0.000 0.500
Rh1 0.000 0.500 0.000
Rh2 0.500 0.000 0.000
```

Computed properties:
- D(E_F) (states/eV per cell) = 3.85
- calculated total energy (eV per atom) = -4.507
- space-group type = P4/mmm (123)
- formation energy (eV/atom) = 0.600

Entry 6:
DFT (PBE) results for a geometry-optimized LaDy5Te6 structure.

CIF file:
```
data_LaDy5Te6
_chemical_formula_sum 'La1 Dy5 Te6'
_symmetry_space_group_name_H-M 'P 1'
_symmetry_Int_Tables_number 1
_symmetry_space_group_name_Hall 'P 1'
_cell_length_a 7.603
_cell_length_b 7.603
_cell_length_c 7.631
_cell_angle_alpha 99.53
_cell_angle_beta 99.53
_cell_angle_gamma 120.29
loop_
_atom_site_label
_atom_site_fract_x
_atom_site_fract_y
_atom_site_fract_z
La1 0.000 0.000 0.000
Dy1 0.156 0.844 0.500
Dy2 0.332 0.668 0.000
Dy3 0.500 0.500 0.500
Dy4 0.668 0.332 0.000
Dy5 0.844 0.156 0.500
Te1 0.086 0.432 0.259
Te2 0.263 0.263 0.752
Te3 0.432 0.086 0.259
Te4 0.568 0.914 0.741
Te5 0.737 0.737 0.248
Te6 0.914 0.568 0.741
```

Computed properties:
- D(E_F) (states/eV per cell) = 6.56
- calculated total energy (eV per atom) = -5.231
- uncorrected formation energy (kJ/mol of atoms) = -128.5
- space-group type = C2/m (12)

Entry 7:
DFT (PBE) results for a geometry-optimized Tb10HoTm4 structure.

CIF file:
```
data_Tb10HoTm4
_chemical_formula_sum 'Tb10 Ho1 Tm4'
_symmetry_space_group_name_H-M 'P 1'
_symmetry_Int_Tables_number 1
_symmetry_space_group_name_Hall 'P 1'
_cell_length_a 9.346
_cell_length_b 9.346
_cell_length_c 9.346
_cell_angle_alpha 99.59
_cell_angle_beta 99.59
_cell_angle_gamma 131.82
loop_
_atom_site_label
_atom_site_fract_x
_atom_site_fract_y
_atom_site_fract_z
Tb1 0.050 0.151 0.700
Tb2 0.151 0.451 0.101
Tb3 0.250 0.750 0.500
Tb4 0.350 0.050 0.899
Tb5 0.451 0.350 0.300
Tb6 0.549 0.650 0.700
Tb7 0.650 0.950 0.101
Tb8 0.750 0.250 0.500
Tb9 0.849 0.549 0.899
Tb10 0.950 0.849 0.300
Ho1 0.000 0.000 0.000
Tm1 0.200 0.600 0.800
Tm2 0.400 0.200 0.600
Tm3 0.600 0.800 0.400
Tm4 0.800 0.400 0.200
```

Computed properties:
- D(E_F) (states/eV per cell) = 17.34
- calculated total energy (eV per atom) = -3.868
- space-group type = I4/m (87)
- formation energy (eV/atom) = 0.716

Entry 8:
DFT (PBE) results for a geometry-optimized ZrNpRe4 structure.

CIF file:
```
data_ZrNpRe4
_chemical_formula_sum 'Zr1 Np1 Re4'
_symmetry_space_group_name_H-M 'P 1'
_symmetry_Int_Tables_number 1
_symmetry_space_group_name_Hall 'P 1'
_cell_length_a 5.363
_cell_length_b 5.363
_cell_length_c 5.363
_cell_angle_alpha 60.00
_cell_angle_beta 60.00
_cell_angle_gamma 60.00
loop_
_atom_site_label
_atom_site_fract_x
_atom_site_fract_y
_atom_site_fract_z
Zr1 0.000 0.000 0.000
Np1 0.750 0.750 0.750
Re1 0.375 0.375 0.375
Re2 0.375 0.375 0.876
Re3 0.375 0.876 0.375
Re4 0.876 0.375 0.375
```

Computed properties:
- D(E_F) (states/eV per cell) = 14.34
- calculated total energy (eV per atom) = -11.898
- space-group type = F-43m (216)
- formation energy (eV/atom) = -0.017

Entry 9:
DFT (PBE) results for a geometry-optimized GaBiO3 structure.

CIF file:
```
data_GaBiO3
_chemical_formula_sum 'Ga1 Bi1 O3'
_symmetry_space_group_name_H-M 'P 1'
_symmetry_Int_Tables_number 1
_symmetry_space_group_name_Hall 'P 1'
_cell_length_a 4.210
_cell_length_b 4.210
_cell_length_c 4.210
_cell_angle_alpha 90.00
_cell_angle_beta 90.00
_cell_angle_gamma 90.00
loop_
_atom_site_label
_atom_site_fract_x
_atom_site_fract_y
_atom_site_fract_z
Ga1 0.000 0.000 0.000
Bi1 0.500 0.500 0.500
O1 0.000 0.500 0.500
O2 0.500 0.000 0.500
O3 0.500 0.500 0.000
```

Computed properties:
- D(E_F) (states/eV per cell) = 2.31
- calculated total energy (eV per atom) = -4.911
- uncorrected formation energy (kJ/mol of atoms) = -53.5
- space-group type = Pm-3m (221)

Entry 10:
DFT (PBE) results for a geometry-optimized MgHgPt2 structure.

CIF file:
```
data_MgHgPt2
_chemical_formula_sum 'Mg2 Hg2 Pt4'
_symmetry_space_group_name_H-M 'P 1'
_symmetry_Int_Tables_number 1
_symmetry_space_group_name_Hall 'P 1'
_cell_length_a 9.830
_cell_length_b 3.024
_cell_length_c 4.813
_cell_angle_alpha 90.00
_cell_angle_beta 103.03
_cell_angle_gamma 90.00
loop_
_atom_site_label
_atom_site_fract_x
_atom_site_fract_y
_atom_site_fract_z
Mg1 0.000 0.000 0.000
Mg2 0.500 0.500 0.000
Hg1 0.228 0.000 0.676
Hg2 0.728 0.500 0.676
Pt1 0.244 0.500 0.179
Pt2 0.479 0.000 0.481
Pt3 0.744 0.000 0.179
Pt4 0.979 0.500 0.481
```

Computed properties:
- D(E_F) (states/eV per cell) = 2.10
- calculated total energy (eV per atom) = -3.844
- space-group type = Cm (8)
- formation energy (eV/atom) = -0.350